The following is a DFT calculation (GGA+U) of a geometry-optimized AcPrWO6 structure.

Cell lengths 5.8186, 5.8186, 10.1526 Å; angles 90.00, 90.00, 120.00 degrees
Space group P-31c (No. 163)
One atom of each set of equivalent atoms:
Ac1 0.0000 0.0000 0.0000
Pr1 0.3333 0.6667 0.2500
W1 0.3333 0.6667 0.7500
O1 0.0540 0.3870 0.6413

Calculated values
**Density**: 7.23 g/cm3
**DOS(E_F)**: 0.0000 states/eV/atom
**E**: -7.93 eV per atom